# MnHgBr2

A relaxed structure of MnHgBr2 (GGA-PBE, Alexandria via LeMat-Bulk).

The calculation puts the uncorrected formation energy at 0.110 eV per atom. As for the crystal system: tetragonal. For the energy relative to the lowest polymorph listed for this composition, the calculation gives 0.677 eV per atom. The volume is 27.078 Å³/atom. The uncorrected energy is -3.09 eV per atom.

It has space group I-4m2 (No. 119), with a = 4.1637 Å, b = 4.1637 Å, c = 12.4952 Å, α = 90.00°, β = 90.00° and γ = 90.00°. The distinct sites, in fractional coordinates, are Mn at (0.0000, 0.0000, 0.0000), Hg at (0.0000, 0.5000, 0.2500), Br at (0.0000, 0.0000, 0.5000) and Br at (0.0000, 0.5000, 0.7500).